No. 1
The following is a DFT calculation (GGA+U) of an optimized crystal structure of KCoO3.

Results
Electronic total energy (eV/cell): -49.0
SG: R-3m

Cell: 5.4049 5.4049 5.4049 Å, 60.09 60.09 60.09°
Atoms (fractional coordinates):
Co 0.0000 0.0000 0.0000
Co 0.5000 0.5000 0.5000
K 0.2500 0.2500 0.2500
K 0.7500 0.7500 0.7500
O 0.2502 0.7500 0.2498
O 0.7502 0.7498 0.2500
O 0.7500 0.2498 0.2502
O 0.2500 0.7502 0.7498
O 0.2498 0.2502 0.7500
O 0.7498 0.2500 0.7502

=====

No. 2
The following is a DFT calculation (GGA+U) of an optimized crystal structure of K2CoO3.

Results
Electronic total energy (eV/cell): -58.4
SG: P-1

Cell: 6.0108 6.2704 6.7782 Å, 90.35 92.97 117.30°
Atoms (fractional coordinates):
Co 0.3427 0.6617 0.2488
Co 0.6572 0.3382 0.7512
K 0.0000 0.0000 0.0000
K 0.6832 0.3358 0.2576
K 0.0000 0.0000 0.5000
K 0.3168 0.6642 0.7424
O 0.6255 0.8979 0.2306
O 0.1090 0.7337 0.2594
O 0.2440 0.3645 0.2625
O 0.7560 0.6355 0.7375
O 0.8911 0.2663 0.7406
O 0.3745 0.1022 0.7694

=====

No. 3
The following is a DFT calculation (GGA+U) of an optimized crystal structure of K2Co2O3.

Results
Electronic total energy (eV/cell): -70.2
SG: P2_1/c

Cell: 5.8713 6.2026 6.3420 Å, 90.00 115.17 90.00°
Atoms (fractional coordinates):
Co 0.3338 0.1119 0.0755
Co 0.6662 0.6119 0.4245
Co 0.3338 0.3881 0.5755
Co 0.6662 0.8881 0.9245
K 0.8160 0.3682 0.0719
K 0.1840 0.8682 0.4281
K 0.8160 0.1318 0.5719
K 0.1840 0.6318 0.9281
O 0.0000 0.0000 0.0000
O 0.5929 0.8634 0.2080
O 0.4071 0.3634 0.2920
O 0.0000 0.5000 0.5000
O 0.5929 0.6366 0.7080
O 0.4071 0.1366 0.7920

=====

No. 4
The following is a DFT calculation (GGA+U) of an optimized crystal structure of KCoO3.

Results
Electronic total energy (eV/cell): -15.2
SG: Pm-3m

Cell: 5.2483 5.2483 5.2483 Å, 90.00 90.00 90.00°
Atoms (fractional coordinates):
Co 0.0000 0.0000 0.0000
K 0.5000 0.5000 0.5000
O 0.5000 0.5000 0.0000
O 0.5000 0.0000 0.5000
O 0.0000 0.5000 0.5000